Entry from Alexandria via LeMat-Bulk: an optimized crystal structure of KNpMoO6 (PBE+U).

- SG: P-31c (163)
- Electronic total energy: -7.88 eV per atom
- Magnetization: 4.00 μB per cell

Lattice parameters (Å, degrees): 5.538 5.538 11.754 90.00 90.00 120.00
Site moments in Bohr magnetons follow the coordinates.
Element x y z (fractional)
O  0.010  0.626  0.342  -0.05
O  0.010  0.384  0.158  -0.05
K  0.000  0.000  0.000  0.00
O  0.990  0.616  0.842  -0.05
K  0.000  0.000  0.500  0.00
O  0.626  0.010  0.842  -0.05
O  0.384  0.010  0.658  -0.05
O  0.374  0.384  0.342  -0.05
O  0.616  0.626  0.158  -0.05
O  0.616  0.990  0.342  -0.05
O  0.990  0.374  0.658  -0.05
Np  0.667  0.333  0.250  1.42
Mo  0.667  0.333  0.750  0.86
O  0.374  0.990  0.158  -0.05
Mo  0.333  0.667  0.250  0.86
O  0.384  0.374  0.842  -0.05
Np  0.333  0.667  0.750  1.42
O  0.626  0.616  0.658  -0.05